A relaxed Ba2PrCo4O8 crystal, computed with PBE with a Hubbard U.

Final energy in Ha/atom: -0.2344
SG: Cmmm (65)
M_tot in μB/atom: 0.7329
Calculated volume in Å³ per cell: 210.5

a b c (Å): 13.567 13.567 3.929
angles (deg): 90.00 90.00 163.08
Fractional positions:
1 Ba 0.139 0.861 0.000
2 Ba 0.861 0.139 0.000
3 Pr 0.000 0.000 0.000
4 Co 0.288 0.712 0.500
5 Co 0.432 0.568 0.500
6 Co 0.568 0.432 0.500
7 Co 0.712 0.288 0.500
8 O 0.057 0.943 0.500
9 O 0.218 0.782 0.500
10 O 0.354 0.646 0.500
11 O 0.443 0.557 0.000
12 O 0.557 0.443 0.000
13 O 0.646 0.354 0.500
14 O 0.782 0.218 0.500
15 O 0.943 0.057 0.500